No. 1
Entry from Alexandria: a relaxed structure of SrZrSc2 (PBE-GGA).

POSCAR file:
```
SrZrSc2
1.0
-1.7145 2.9812 5.6702
1.7145 -2.9812 5.6702
1.7145 2.9812 -5.6702
Sr Zr Sc
1 1 2
Direct
0.0000 0.0000 0.0000
0.5000 0.5000 0.0000
0.2764 0.7764 0.5000
0.7236 0.2236 0.5000
```

Computed properties:
The formation enthalpy at 0 K is 404 meV/atom. The space group is No. 71. The total energy comes out at -5.32 eV per atom. For the density of states at the Fermi level, the calculation gives 1.74 states/eV/atom. As for the relative energy among the computed polymorphs: 213 meV/atom.

---

No. 2
Entry from Alexandria: a relaxed structure of SrZr2Sc (PBE-GGA).

POSCAR file:
```
SrZr2Sc
1.0
3.3005 0.0000 0.0000
0.0000 4.5228 0.0000
0.0000 0.0000 7.6254
Sr Zr Sc
1 2 1
Direct
0.0000 0.0000 0.0000
0.5000 0.5000 0.3077
0.5000 0.5000 0.6923
0.0000 0.0000 0.5000
```

Computed properties:
The formation enthalpy at 0 K is 321 meV/atom. The space group is No. 47. The total energy comes out at -5.96 eV per atom. For the density of states at the Fermi level, the calculation gives 1.33 states/eV/atom. As for the relative energy among the computed polymorphs: 79 meV/atom.

---

No. 3
Entry from Alexandria: a relaxed structure of SrZrSc2 (PBE-GGA).

POSCAR file:
```
SrZrSc2
1.0
-2.3146 2.3146 11.0572
2.3146 -2.3146 11.0572
2.3146 2.3146 -11.0572
Sr Zr Sc
2 2 4
Direct
0.0000 0.0000 0.0000
0.7500 0.2500 0.5000
0.2500 0.7500 0.5000
0.5000 0.5000 0.0000
0.1579 0.6250 0.0329
0.3750 0.4079 0.5329
0.5921 0.1250 0.9671
0.8750 0.8421 0.4671
```

Computed properties:
The formation enthalpy at 0 K is 779 meV/atom. The space group is No. 122. The total energy comes out at -4.94 eV per atom. For the density of states at the Fermi level, the calculation gives 1.96 states/eV/atom. As for the relative energy among the computed polymorphs: 588 meV/atom.

---

No. 4
Entry from Alexandria: a relaxed structure of SrZr2Sc (PBE-GGA).

POSCAR file:
```
SrZr2Sc
1.0
5.5167 -1.6362 0.0000
5.5167 1.6362 0.0000
-0.7756 0.0000 6.1402
Sr Zr Sc
1 2 1
Direct
0.0000 0.0000 0.0000
0.2409 0.2409 0.7055
0.7591 0.7591 0.2945
0.5000 0.5000 0.5000
```

Computed properties:
The formation enthalpy at 0 K is 351 meV/atom. The space group is No. 12. The total energy comes out at -5.93 eV per atom. For the density of states at the Fermi level, the calculation gives 1.62 states/eV/atom. As for the relative energy among the computed polymorphs: 110 meV/atom.

---

No. 5
Entry from Alexandria: a relaxed structure of SrZrSc2 (PBE-GGA).

POSCAR file:
```
SrZrSc2
1.0
5.4658 -1.6600 0.0000
5.4658 1.6600 0.0000
-0.8000 0.0000 6.3054
Sr Zr Sc
1 1 2
Direct
0.0000 0.0000 0.0000
0.2449 0.2449 0.6989
0.5079 0.5079 0.5181
0.7589 0.7589 0.2923
```

Computed properties:
The formation enthalpy at 0 K is 311 meV/atom. The space group is No. 8. The total energy comes out at -5.41 eV per atom. For the density of states at the Fermi level, the calculation gives 1.39 states/eV/atom. As for the relative energy among the computed polymorphs: 120 meV/atom.

---

No. 6
Entry from Alexandria: a relaxed structure of SrZrSc2 (PBE-GGA).

POSCAR file:
```
SrZrSc2
1.0
-1.7505 2.8332 5.6968
1.7505 -2.8332 5.6968
1.7505 2.8332 -5.6968
Sr Zr Sc
1 1 2
Direct
0.0000 0.0000 0.0000
0.2731 0.7731 0.5000
0.4965 0.4965 0.0000
0.7293 0.2293 0.5000
```

Computed properties:
The formation enthalpy at 0 K is 384 meV/atom. The space group is No. 44. The total energy comes out at -5.34 eV per atom. For the density of states at the Fermi level, the calculation gives 1.74 states/eV/atom. As for the relative energy among the computed polymorphs: 193 meV/atom.

---

No. 7
Entry from Alexandria: a relaxed structure of SrZrSc2 (PBE-GGA).

POSCAR file:
```
SrZrSc2
1.0
1.7054 0.9846 11.3194
-1.7054 0.9846 11.3194
0.0000 -1.9693 11.3194
Sr Zr Sc
1 1 2
Direct
0.0000 0.0000 0.0000
0.5000 0.5000 0.5000
0.2392 0.2392 0.2392
0.7608 0.7608 0.7608
```

Computed properties:
The formation enthalpy at 0 K is 243 meV/atom. The space group is No. 166. The total energy comes out at -5.48 eV per atom. For the density of states at the Fermi level, the calculation gives 1.33 states/eV/atom. As for the relative energy among the computed polymorphs: 52 meV/atom.

---

No. 8
Entry from Alexandria: a relaxed structure of SrZr2Sc (PBE-GGA).

POSCAR file:
```
SrZr2Sc
1.0
1.6653 0.9615 11.2738
-1.6653 0.9615 11.2738
0.0000 -1.9230 11.2738
Sr Zr Sc
1 2 1
Direct
0.0000 0.0000 0.0000
0.2415 0.2415 0.2415
0.7585 0.7585 0.7585
0.5000 0.5000 0.5000
```

Computed properties:
The formation enthalpy at 0 K is 341 meV/atom. The space group is No. 166. The total energy comes out at -5.94 eV per atom. For the density of states at the Fermi level, the calculation gives 1.57 states/eV/atom. As for the relative energy among the computed polymorphs: 100 meV/atom.

---

No. 9
Entry from Alexandria: a relaxed structure of SrZr2Sc (PBE-GGA).

POSCAR file:
```
SrZr2Sc
1.0
0.0000 3.7952 3.7952
3.7952 0.0000 3.7952
3.7952 3.7952 0.0000
Sr Zr Sc
1 2 1
Direct
0.0000 0.0000 0.0000
0.2500 0.2500 0.2500
0.5000 0.5000 0.5000
0.7500 0.7500 0.7500
```

Computed properties:
The formation enthalpy at 0 K is 485 meV/atom. The space group is No. 216. The total energy comes out at -5.79 eV per atom. For the density of states at the Fermi level, the calculation gives 1.69 states/eV/atom. As for the relative energy among the computed polymorphs: 244 meV/atom.

---

No. 10
Entry from Alexandria: a relaxed structure of SrZr4Sc (PBE-GGA).

POSCAR file:
```
SrZr4Sc
1.0
0.0000 4.3248 4.3248
4.3248 0.0000 4.3248
4.3248 4.3248 0.0000
Sr Zr Sc
1 4 1
Direct
0.0000 0.0000 0.0000
0.1331 0.6223 0.6223
0.6223 0.1331 0.6223
0.6223 0.6223 0.1331
0.6223 0.6223 0.6223
0.2500 0.2500 0.2500
```

Computed properties:
The formation enthalpy at 0 K is 408 meV/atom. The space group is No. 216. The total energy comes out at -6.63 eV per atom. For the density of states at the Fermi level, the calculation gives 1.93 states/eV/atom.

---

No. 11
Entry from Alexandria: a relaxed structure of Sr3ZrSc (PBE-GGA).

POSCAR file:
```
Sr3ZrSc
1.0
6.0149 0.0000 0.0000
0.0000 6.0149 0.0000
0.0000 0.0000 6.0149
Sr Zr Sc
3 1 1
Direct
0.0000 0.0000 0.5000
0.0000 0.5000 0.0000
0.5000 0.0000 0.0000
0.0000 0.0000 0.0000
0.5000 0.5000 0.5000
```

Computed properties:
The formation enthalpy at 0 K is 1013 meV/atom. The space group is No. 221. The total energy comes out at -2.97 eV per atom. For the density of states at the Fermi level, the calculation gives 0.94 states/eV/atom. As for the relative energy among the computed polymorphs: 0 meV/atom.

---

No. 12
Entry from Alexandria: a relaxed structure of SrZrSc2 (PBE-GGA).

POSCAR file:
```
SrZrSc2
1.0
-2.3974 2.3974 4.8480
2.3974 -2.3974 4.8480
2.3974 2.3974 -4.8480
Sr Zr Sc
1 1 2
Direct
0.0000 0.0000 0.0000
0.2500 0.7500 0.5000
0.5000 0.5000 0.0000
0.7500 0.2500 0.5000
```

Computed properties:
The formation enthalpy at 0 K is 402 meV/atom. The space group is No. 119. The total energy comes out at -5.32 eV per atom. For the density of states at the Fermi level, the calculation gives 2.00 states/eV/atom. As for the relative energy among the computed polymorphs: 211 meV/atom.

---

No. 13
Entry from Alexandria: a relaxed structure of SrZr2Sc (PBE-GGA).

POSCAR file:
```
SrZr2Sc
1.0
3.4106 0.0000 0.0000
0.0000 4.2845 0.0000
0.0000 0.0000 7.9251
Sr Zr Sc
1 2 1
Direct
0.0000 0.0000 0.0000
0.0000 0.0000 0.4786
0.5000 0.5000 0.2996
0.5000 0.5000 0.6821
```

Computed properties:
The formation enthalpy at 0 K is 241 meV/atom. The space group is No. 25. The total energy comes out at -6.04 eV per atom. For the density of states at the Fermi level, the calculation gives 1.28 states/eV/atom. As for the relative energy among the computed polymorphs: 0 meV/atom.

---

No. 14
Entry from Alexandria: a relaxed structure of SrZr2Sc (PBE-GGA).

POSCAR file:
```
SrZr2Sc
1.0
5.2506 -1.6273 0.0000
5.2506 1.6273 0.0000
-0.5791 0.0000 6.6616
Sr Zr Sc
1 2 1
Direct
0.0000 0.0000 0.0000
0.2411 0.2411 0.6830
0.5037 0.5037 0.5236
0.7599 0.7599 0.2991
```

Computed properties:
The formation enthalpy at 0 K is 312 meV/atom. The space group is No. 8. The total energy comes out at -5.97 eV per atom. For the density of states at the Fermi level, the calculation gives 1.34 states/eV/atom. As for the relative energy among the computed polymorphs: 71 meV/atom.

---

No. 15
Entry from Alexandria: a relaxed structure of SrZr2Sc (PBE-GGA).

POSCAR file:
```
SrZr2Sc
1.0
-2.3466 2.3466 4.8928
2.3466 -2.3466 4.8928
2.3466 2.3466 -4.8928
Sr Zr Sc
1 2 1
Direct
0.0000 0.0000 0.0000
0.2500 0.7500 0.5000
0.7500 0.2500 0.5000
0.5000 0.5000 0.0000
```

Computed properties:
The formation enthalpy at 0 K is 450 meV/atom. The space group is No. 139. The total energy comes out at -5.83 eV per atom. For the density of states at the Fermi level, the calculation gives 1.43 states/eV/atom. As for the relative energy among the computed polymorphs: 209 meV/atom.